No. 1
Density functional theory data (PBE) for a relaxed structure of Ag5Te2S.

Cell lengths 7.748, 7.748, 13.047 Å; angles 90.00, 90.00, 145.34 degrees
Sites, in units of the cell vectors:
Ag: 0.054 0.946 0.588
Ag: 0.054 0.946 0.912
Ag: 0.263 0.737 0.567
Ag: 0.263 0.737 0.933
Ag: 0.299 0.701 0.250
Ag: 0.701 0.299 0.750
Ag: 0.737 0.263 0.067
Ag: 0.737 0.263 0.433
Ag: 0.946 0.054 0.088
Ag: 0.946 0.054 0.412
Te: 0.136 0.864 0.107
Te: 0.136 0.864 0.393
Te: 0.864 0.136 0.607
Te: 0.864 0.136 0.893
S: 0.139 0.861 0.750
S: 0.861 0.139 0.250

Values from the calculation:
Its space-group type is No. 63. For the density of states at the Fermi level, the calculation gives 5.56 states/eV per cell. Its raw total energy is -3.08 eV/atom. Its spin magnetization is 0.00 μB per cell.

***

No. 2
Density functional theory data (PBE) for a relaxed structure of Ag6TeS2.

Cell lengths 6.986, 6.986, 8.771 Å; angles 114.40, 114.40, 36.89 degrees
Sites, in units of the cell vectors:
Ag: 0.049 0.049 0.335
Ag: 0.296 0.296 0.429
Ag: 0.358 0.358 0.827
Ag: 0.642 0.642 0.173
Ag: 0.704 0.704 0.571
Ag: 0.951 0.951 0.665
Te: 0.000 0.000 0.000
S: 0.150 0.150 0.650
S: 0.850 0.850 0.350

Values from the calculation:
Its space-group type is No. 12. For the density of states at the Fermi level, the calculation gives 0.64 states/eV per cell. Its raw total energy is -3.14 eV/atom. Its spin magnetization is 0.00 μB per cell. The calculation puts the polymorph energy (0 for the lowest one) at 45 meV/atom.

***

No. 3
Density functional theory data (PBE) for a relaxed structure of AgTe2S2.

Cell lengths 6.946, 6.946, 5.315 Å; angles 90.00, 90.00, 90.00 degrees
Sites, in units of the cell vectors:
Ag: 0.000 0.000 0.000
Ag: 0.500 0.500 0.000
Te: 0.146 0.354 0.500
Te: 0.354 0.854 0.500
Te: 0.646 0.146 0.500
Te: 0.854 0.646 0.500
S: 0.176 0.324 0.000
S: 0.324 0.824 0.000
S: 0.676 0.176 0.000
S: 0.824 0.676 0.000

Values from the calculation:
Its space-group type is No. 127. For the density of states at the Fermi level, the calculation gives 5.48 states/eV per cell. Its raw total energy is -3.31 eV/atom. Its spin magnetization is 0.00 μB per cell. The calculation puts the polymorph energy (0 for the lowest one) at 0 meV/atom.

***

No. 4
Density functional theory data (PBE) for a relaxed structure of AgTeS2.

Cell lengths 3.731, 7.555, 7.215 Å; angles 90.00, 90.00, 90.00 degrees
Sites, in units of the cell vectors:
Ag: 0.000 0.171 0.000
Ag: 0.500 0.829 0.500
Te: 0.000 0.707 0.019
Te: 0.500 0.293 0.519
S: 0.000 0.445 0.195
S: 0.000 0.922 0.266
S: 0.500 0.078 0.766
S: 0.500 0.555 0.695

Values from the calculation:
Its space-group type is No. 31. For the density of states at the Fermi level, the calculation gives 1.79 states/eV per cell. Its raw total energy is -3.52 eV/atom. Its spin magnetization is 0.00 μB per cell.

***

No. 5
Density functional theory data (PBE) for a relaxed structure of Ag4TeS4.

Cell lengths 7.716, 7.716, 7.716 Å; angles 93.74, 93.74, 150.42 degrees
Sites, in units of the cell vectors:
Ag: 0.158 0.340 0.498
Ag: 0.340 0.842 0.182
Ag: 0.660 0.158 0.818
Ag: 0.842 0.660 0.502
Te: 0.500 0.500 0.000
S: 0.255 0.551 0.807
S: 0.449 0.255 0.704
S: 0.551 0.745 0.296
S: 0.745 0.449 0.193

Values from the calculation:
Its space-group type is No. 87. For the density of states at the Fermi level, the calculation gives 5.67 states/eV per cell. Its raw total energy is -3.42 eV/atom. Its spin magnetization is 0.00 μB per cell. The calculation puts the polymorph energy (0 for the lowest one) at 0 meV/atom.

***

No. 6
Density functional theory data (PBE) for a relaxed structure of Ag3TeS.

Cell lengths 5.279, 5.279, 5.279 Å; angles 90.00, 90.00, 90.00 degrees
Sites, in units of the cell vectors:
Ag: 0.000 0.000 0.500
Ag: 0.000 0.500 0.000
Ag: 0.500 0.000 0.000
Te: 0.000 0.000 0.000
S: 0.500 0.500 0.500

Values from the calculation:
Its space-group type is No. 221. For the density of states at the Fermi level, the calculation gives 5.38 states/eV per cell. Its raw total energy is -2.61 eV/atom. Its spin magnetization is 1.00 μB per cell. The calculation puts the polymorph energy (0 for the lowest one) at 550 meV/atom.

***

No. 7
Density functional theory data (PBE) for a relaxed structure of Ag3TeS2.

Cell lengths 7.359, 7.359, 7.359 Å; angles 118.71, 86.48, 125.52 degrees
Sites, in units of the cell vectors:
Ag: 0.023 0.750 0.273
Ag: 0.250 0.250 0.000
Ag: 0.477 0.750 0.727
Ag: 0.523 0.250 0.273
Ag: 0.750 0.750 0.000
Ag: 0.977 0.250 0.727
Te: 0.000 0.500 0.500
Te: 0.500 0.000 0.500
S: 0.135 0.188 0.323
S: 0.365 0.688 0.054
S: 0.635 0.312 0.946
S: 0.865 0.812 0.677

Values from the calculation:
Its space-group type is No. 72. For the density of states at the Fermi level, the calculation gives 4.76 states/eV per cell. Its raw total energy is -3.23 eV/atom. Its spin magnetization is 0.00 μB per cell. The calculation puts the polymorph energy (0 for the lowest one) at 0 meV/atom.

***

No. 8
Density functional theory data (PBE) for a relaxed structure of AgTeS2.

Cell lengths 6.756, 6.756, 6.756 Å; angles 35.42, 35.42, 35.42 degrees
Sites, in units of the cell vectors:
Ag: 0.000 0.000 0.000
Te: 0.179 0.179 0.179
S: 0.596 0.596 0.596
S: 0.777 0.777 0.777

Values from the calculation:
Its space-group type is No. 160. For the density of states at the Fermi level, the calculation gives 1.54 states/eV per cell. Its raw total energy is -3.33 eV/atom. Its spin magnetization is 0.00 μB per cell.

***

No. 9
Density functional theory data (PBE) for a relaxed structure of AgTeS4.

Cell lengths 5.930, 5.930, 7.052 Å; angles 105.85, 105.85, 36.52 degrees
Sites, in units of the cell vectors:
Ag: 0.000 0.000 0.000
Te: 0.500 0.500 0.500
S: 0.166 0.166 0.495
S: 0.397 0.397 0.106
S: 0.603 0.603 0.894
S: 0.834 0.834 0.505

Values from the calculation:
Its space-group type is No. 12. For the density of states at the Fermi level, the calculation gives 1.08 states/eV per cell. Its raw total energy is -3.51 eV/atom. Its spin magnetization is 0.00 μB per cell. The calculation puts the polymorph energy (0 for the lowest one) at 103 meV/atom.

***

No. 10
Density functional theory data (PBE) for a relaxed structure of Ag12Te5S3.

Cell lengths 13.744, 13.744, 13.744 Å; angles 109.47, 109.47, 109.47 degrees
Sites, in units of the cell vectors:
Ag: 0.056 0.628 0.384
Ag: 0.056 0.928 0.672
Ag: 0.072 0.244 0.128
Ag: 0.072 0.328 0.944
Ag: 0.116 0.744 0.672
Ag: 0.116 0.872 0.444
Ag: 0.128 0.072 0.244
Ag: 0.128 0.556 0.884
Ag: 0.172 0.244 0.616
Ag: 0.172 0.428 0.556
Ag: 0.244 0.128 0.072
Ag: 0.244 0.616 0.172
Ag: 0.256 0.328 0.884
Ag: 0.256 0.428 0.372
Ag: 0.328 0.884 0.256
Ag: 0.328 0.944 0.072
Ag: 0.372 0.256 0.428
Ag: 0.372 0.616 0.944
Ag: 0.384 0.056 0.628
Ag: 0.384 0.828 0.756
Ag: 0.428 0.372 0.256
Ag: 0.428 0.556 0.172
Ag: 0.444 0.116 0.872
Ag: 0.444 0.828 0.572
Ag: 0.556 0.172 0.428
Ag: 0.556 0.884 0.128
Ag: 0.572 0.444 0.828
Ag: 0.572 0.628 0.744
Ag: 0.616 0.172 0.244
Ag: 0.616 0.944 0.372
Ag: 0.628 0.384 0.056
Ag: 0.628 0.744 0.572
Ag: 0.672 0.056 0.928
Ag: 0.672 0.116 0.744
Ag: 0.744 0.572 0.628
Ag: 0.744 0.672 0.116
Ag: 0.756 0.384 0.828
Ag: 0.756 0.872 0.928
Ag: 0.828 0.572 0.444
Ag: 0.828 0.756 0.384
Ag: 0.872 0.444 0.116
Ag: 0.872 0.928 0.756
Ag: 0.884 0.128 0.556
Ag: 0.884 0.256 0.328
Ag: 0.928 0.672 0.056
Ag: 0.928 0.756 0.872
Ag: 0.944 0.072 0.328
Ag: 0.944 0.372 0.616
Te: 0.000 0.000 0.000
Te: 0.000 0.000 0.500
Te: 0.000 0.500 0.000
Te: 0.000 0.500 0.500
Te: 0.125 0.750 0.875
Te: 0.125 0.875 0.250
Te: 0.250 0.125 0.875
Te: 0.250 0.625 0.375
Te: 0.375 0.250 0.625
Te: 0.375 0.625 0.750
Te: 0.500 0.000 0.000
Te: 0.500 0.000 0.500
Te: 0.500 0.500 0.000
Te: 0.500 0.500 0.500
Te: 0.625 0.375 0.250
Te: 0.625 0.750 0.375
Te: 0.750 0.375 0.625
Te: 0.750 0.875 0.125
Te: 0.875 0.125 0.750
Te: 0.875 0.250 0.125
S: 0.125 0.250 0.375
S: 0.125 0.375 0.750
S: 0.250 0.375 0.125
S: 0.250 0.875 0.625
S: 0.375 0.125 0.250
S: 0.375 0.750 0.125
S: 0.625 0.250 0.875
S: 0.625 0.875 0.750
S: 0.750 0.125 0.375
S: 0.750 0.625 0.875
S: 0.875 0.625 0.250
S: 0.875 0.750 0.625

Values from the calculation:
Its space-group type is No. 230. For the density of states at the Fermi level, the calculation gives 52.06 states/eV per cell. Its raw total energy is -3.06 eV/atom. Its spin magnetization is 0.00 μB per cell.

***

No. 11
Density functional theory data (PBE) for a relaxed structure of Ag3TeS.

Cell lengths 4.906, 4.906, 4.906 Å; angles 90.00, 90.00, 90.00 degrees
Sites, in units of the cell vectors:
Ag: 0.000 0.000 0.500
Ag: 0.000 0.500 0.000
Ag: 0.500 0.000 0.000
Te: 0.500 0.500 0.500
S: 0.000 0.000 0.000

Values from the calculation:
Its space-group type is No. 221. For the density of states at the Fermi level, the calculation gives 3.83 states/eV per cell. Its raw total energy is -2.98 eV/atom. Its spin magnetization is 0.00 μB per cell. The calculation puts the polymorph energy (0 for the lowest one) at 174 meV/atom.

***

No. 12
Density functional theory data (PBE) for a relaxed structure of Ag2Te2S5.

Cell lengths 9.947, 9.947, 6.166 Å; angles 93.90, 93.90, 27.46 degrees
Sites, in units of the cell vectors:
Ag: 0.195 0.195 0.076
Ag: 0.805 0.805 0.924
Te: 0.371 0.371 0.438
Te: 0.629 0.629 0.562
S: 0.173 0.173 0.481
S: 0.337 0.337 0.055
S: 0.500 0.500 0.500
S: 0.663 0.663 0.945
S: 0.827 0.827 0.519

Values from the calculation:
Its space-group type is No. 12. For the density of states at the Fermi level, the calculation gives 2.16 states/eV per cell. Its raw total energy is -3.47 eV/atom. Its spin magnetization is 0.00 μB per cell. The calculation puts the polymorph energy (0 for the lowest one) at 112 meV/atom.

***

No. 13
Density functional theory data (PBE) for a relaxed structure of AgTe3S7.

Cell lengths 8.235, 8.235, 6.805 Å; angles 90.70, 90.70, 133.64 degrees
Sites, in units of the cell vectors:
Ag: 0.000 0.000 0.000
Te: 0.303 0.697 0.500
Te: 0.500 0.500 0.000
Te: 0.697 0.303 0.500
S: 0.000 0.000 0.500
S: 0.031 0.608 0.267
S: 0.238 0.238 0.279
S: 0.392 0.969 0.733
S: 0.608 0.031 0.267
S: 0.762 0.762 0.721
S: 0.969 0.392 0.733

Values from the calculation:
Its space-group type is No. 12. For the density of states at the Fermi level, the calculation gives 4.42 states/eV per cell. Its raw total energy is -3.46 eV/atom. Its spin magnetization is 0.00 μB per cell.

***

No. 14
Density functional theory data (PBE) for a relaxed structure of AgTeS2.

Cell lengths 8.120, 8.120, 8.120 Å; angles 140.83, 140.83, 56.59 degrees
Sites, in units of the cell vectors:
Ag: 0.000 0.000 0.000
Ag: 0.750 0.250 0.500
Te: 0.250 0.750 0.500
Te: 0.500 0.500 0.000
S: 0.125 0.625 0.000
S: 0.375 0.375 0.500
S: 0.625 0.125 0.000
S: 0.875 0.875 0.500

Values from the calculation:
Its space-group type is No. 122. For the density of states at the Fermi level, the calculation gives 3.11 states/eV per cell. Its raw total energy is -3.37 eV/atom. Its spin magnetization is 0.00 μB per cell.

***

No. 15
Density functional theory data (PBE) for a relaxed structure of AgTe2S6.

Cell lengths 5.037, 7.521, 7.898 Å; angles 75.12, 79.00, 83.51 degrees
Sites, in units of the cell vectors:
Ag: 0.000 0.000 0.000
Te: 0.294 0.833 0.348
Te: 0.432 0.468 0.891
S: 0.154 0.262 0.761
S: 0.617 0.577 0.160
S: 0.627 0.081 0.280
S: 0.843 0.453 0.680
S: 0.878 0.019 0.464
S: 0.987 0.667 0.134

Values from the calculation:
Its space-group type is No. 1. For the density of states at the Fermi level, the calculation gives 2.19 states/eV per cell. Its raw total energy is -3.62 eV/atom. Its spin magnetization is 0.00 μB per cell.

***

No. 16
Density functional theory data (PBE) for a relaxed structure of AgTeS2.

Cell lengths 8.253, 9.263, 6.781 Å; angles 90.00, 90.00, 90.00 degrees
Sites, in units of the cell vectors:
Ag: 0.108 0.016 0.000
Ag: 0.392 0.516 0.500
Ag: 0.608 0.484 0.000
Ag: 0.892 0.984 0.500
Te: 0.191 0.601 0.002
Te: 0.309 0.101 0.502
Te: 0.691 0.899 0.002
Te: 0.809 0.399 0.502
S: 0.135 0.498 0.695
S: 0.150 0.918 0.665
S: 0.350 0.418 0.165
S: 0.365 0.998 0.195
S: 0.635 0.002 0.695
S: 0.650 0.582 0.665
S: 0.850 0.082 0.165
S: 0.865 0.502 0.195

Values from the calculation:
Its space-group type is No. 33. For the density of states at the Fermi level, the calculation gives 3.16 states/eV per cell. Its raw total energy is -3.46 eV/atom. Its spin magnetization is 0.00 μB per cell.

***

No. 17
Density functional theory data (PBE) for a relaxed structure of Ag2TeS2.

Cell lengths 4.384, 4.043, 13.920 Å; angles 90.00, 92.85, 90.00 degrees
Sites, in units of the cell vectors:
Ag: 0.237 0.250 0.274
Ag: 0.256 0.250 0.527
Ag: 0.744 0.750 0.473
Ag: 0.763 0.750 0.726
Te: 0.309 0.250 0.945
Te: 0.691 0.750 0.055
S: 0.230 0.750 0.386
S: 0.278 0.750 0.821
S: 0.722 0.250 0.179
S: 0.770 0.250 0.614

Values from the calculation:
Its space-group type is No. 11. For the density of states at the Fermi level, the calculation gives 4.38 states/eV per cell. Its raw total energy is -3.33 eV/atom. Its spin magnetization is 0.00 μB per cell.

***

No. 18
Density functional theory data (PBE) for a relaxed structure of AgTe2S2.

Cell lengths 8.528, 8.528, 3.418 Å; angles 90.00, 90.00, 90.00 degrees
Sites, in units of the cell vectors:
Ag: 0.000 0.000 0.000
Ag: 0.500 0.500 0.000
Te: 0.227 0.273 0.000
Te: 0.273 0.773 0.000
Te: 0.727 0.227 0.000
Te: 0.773 0.727 0.000
S: 0.116 0.616 0.500
S: 0.384 0.116 0.500
S: 0.616 0.884 0.500
S: 0.884 0.384 0.500

Values from the calculation:
Its space-group type is No. 127. For the density of states at the Fermi level, the calculation gives 3.02 states/eV per cell. Its raw total energy is -3.19 eV/atom. Its spin magnetization is 0.00 μB per cell. The calculation puts the polymorph energy (0 for the lowest one) at 123 meV/atom.

***

No. 19
Density functional theory data (PBE) for a relaxed structure of Ag5TeS.

Cell lengths 5.527, 5.527, 10.133 Å; angles 102.44, 102.44, 92.02 degrees
Sites, in units of the cell vectors:
Ag: 0.055 0.945 0.750
Ag: 0.121 0.602 0.323
Ag: 0.234 0.400 0.971
Ag: 0.398 0.879 0.177
Ag: 0.400 0.234 0.471
Ag: 0.600 0.766 0.529
Ag: 0.602 0.121 0.823
Ag: 0.766 0.600 0.029
Ag: 0.879 0.398 0.677
Ag: 0.945 0.055 0.250
Te: 0.413 0.587 0.750
Te: 0.587 0.413 0.250
S: 0.000 0.000 0.000
S: 0.000 0.000 0.500

Values from the calculation:
Its space-group type is No. 15. For the density of states at the Fermi level, the calculation gives 3.58 states/eV per cell. Its raw total energy is -2.98 eV/atom. Its spin magnetization is 0.00 μB per cell.